! Cd4Ag15Hg (PBE-GGA, optimized geometry); values from VASP
! - DFT total energy: -47.130 eV/cell
&SYSTEM
  ibrav = 0, nat = 20, ntyp = 3
/
ATOMIC_SPECIES
Cd 112.41 Cd.upf
Ag 107.87 Ag.upf
Hg 200.59 Hg.upf
ATOMIC_POSITIONS crystal
Cd 0.000 0.000 0.201
Cd 0.000 0.000 0.400
Cd 0.000 0.000 0.600
Cd 0.000 0.000 0.799
Ag 0.500 0.500 0.000
Ag 0.500 0.500 0.201
Ag 0.500 0.500 0.400
Ag 0.500 0.500 0.600
Ag 0.500 0.500 0.799
Ag 0.500 0.000 0.101
Ag 0.500 0.000 0.300
Ag 0.500 0.000 0.500
Ag 0.500 0.000 0.700
Ag 0.500 0.000 0.899
Ag 0.000 0.500 0.101
Ag 0.000 0.500 0.300
Ag 0.000 0.500 0.500
Ag 0.000 0.500 0.700
Ag 0.000 0.500 0.899
Hg 0.000 0.000 0.000
CELL_PARAMETERS angstrom
4.147 0.000 0.000
0.000 4.147 0.000
0.000 0.000 21.631